{
  "formula": "Sr3CoAg2O6",
  "functional": "PBE+U",
  "state": "relaxed",
  "m_tot_mub_per_atom": 0.219,
  "e_tot_ev_per_atom": -5.195,
  "spacegroup": "P-3m1 (164)",
  "cell": [[5.784, 0.000, 0.000], [-2.892, 5.009, 0.000], [0.000, 0.000, 6.359]],
  "species": ["Sr", "Sr", "Sr", "Co", "Ag", "Ag", "O", "O", "O", "O", "O", "O"],
  "fractional_positions": [[0.000, 0.000, 0.000], [0.333, 0.667, 0.608], [0.667, 0.333, 0.392], [0.000, 0.000, 0.500], [0.333, 0.667, 0.106], [0.667, 0.333, 0.894], [0.158, 0.317, 0.321], [0.158, 0.842, 0.321], [0.317, 0.158, 0.679], [0.683, 0.842, 0.321], [0.842, 0.158, 0.679], [0.842, 0.683, 0.679]]
}